1.
## HoSc5Pd6 (PBE)

Data for a geometry-optimized HoSc5Pd6 structure.

Lattice parameters (Å, degrees): 4.779 6.548 7.548 90.00 108.38 90.00
Positions (direct):
Sc 0.000 0.500 0.000
Sc 0.334 0.500 0.668
Sc 0.332 0.000 0.663
Sc 0.668 0.000 0.337
Sc 0.666 0.500 0.332
Pd 0.500 0.260 0.000
Pd 0.830 0.746 0.657
Pd 0.830 0.254 0.657
Pd 0.170 0.746 0.343
Pd 0.170 0.254 0.343
Pd 0.500 0.740 0.000
Ho 0.000 0.000 0.000

E_tot, eV/atom: -6.508
Space group: P2/m
Energy of formation, eV/atom: -0.892
Fermi-level density of states, states/eV/cell: 7.217

---

2.
## Na6In12Ag (PBE)

Data for a geometry-optimized Na6In12Ag structure.

Lattice parameters (Å, degrees): 8.019 8.019 8.019 94.37 94.37 94.37
Positions (direct):
In 0.132 0.057 0.366
In 0.634 0.868 0.943
In 0.463 0.211 0.532
In 0.537 0.789 0.468
In 0.366 0.132 0.057
In 0.057 0.366 0.132
In 0.532 0.463 0.211
In 0.789 0.468 0.537
In 0.943 0.634 0.868
In 0.211 0.532 0.463
In 0.468 0.537 0.789
In 0.868 0.943 0.634
Na 0.258 0.880 0.718
Na 0.718 0.258 0.880
Na 0.282 0.742 0.120
Na 0.880 0.718 0.258
Na 0.120 0.282 0.742
Na 0.742 0.120 0.282
Ag 0.000 0.000 0.000

E_tot, eV/atom: -2.353
Space group: R-3
Energy of formation, eV/atom: -0.057
Fermi-level density of states, states/eV/cell: 7.932

---

Repeat the first record exactly.
## HoSc5Pd6 (PBE)

Data for a geometry-optimized HoSc5Pd6 structure.

Lattice parameters (Å, degrees): 4.779 6.548 7.548 90.00 108.38 90.00
Positions (direct):
Sc 0.000 0.500 0.000
Sc 0.334 0.500 0.668
Sc 0.332 0.000 0.663
Sc 0.668 0.000 0.337
Sc 0.666 0.500 0.332
Pd 0.500 0.260 0.000
Pd 0.830 0.746 0.657
Pd 0.830 0.254 0.657
Pd 0.170 0.746 0.343
Pd 0.170 0.254 0.343
Pd 0.500 0.740 0.000
Ho 0.000 0.000 0.000

E_tot, eV/atom: -6.508
Space group: P2/m
Energy of formation, eV/atom: -0.892
Fermi-level density of states, states/eV/cell: 7.217

---

Repeat the second record exactly.
## Na6In12Ag (PBE)

Data for a geometry-optimized Na6In12Ag structure.

Lattice parameters (Å, degrees): 8.019 8.019 8.019 94.37 94.37 94.37
Positions (direct):
In 0.132 0.057 0.366
In 0.634 0.868 0.943
In 0.463 0.211 0.532
In 0.537 0.789 0.468
In 0.366 0.132 0.057
In 0.057 0.366 0.132
In 0.532 0.463 0.211
In 0.789 0.468 0.537
In 0.943 0.634 0.868
In 0.211 0.532 0.463
In 0.468 0.537 0.789
In 0.868 0.943 0.634
Na 0.258 0.880 0.718
Na 0.718 0.258 0.880
Na 0.282 0.742 0.120
Na 0.880 0.718 0.258
Na 0.120 0.282 0.742
Na 0.742 0.120 0.282
Ag 0.000 0.000 0.000

E_tot, eV/atom: -2.353
Space group: R-3
Energy of formation, eV/atom: -0.057
Fermi-level density of states, states/eV/cell: 7.932